# 1
Entry from Alexandria: a geometry-optimized SrLa2Tc structure (PBE-GGA).

Crystal system: orthorhombic
Uncorrected energy in eV/atom: -5.37
SG: Cmmm

Cell: 3.6530 3.6530 10.5521 Å, 90.00 90.00 102.18°
Sites, in units of the cell vectors:
Sr: 0.0000 0.0000 0.0000
La: 0.5000 0.5000 0.3356
La: 0.5000 0.5000 0.6644
Tc: 0.0000 0.0000 0.5000

# 2
Entry from Alexandria: a geometry-optimized Ba4AgGe3 structure (PBE-GGA).

Crystal system: orthorhombic
Uncorrected energy in eV/atom: -3.51
SG: Pmm2

Cell: 4.5699 5.0423 12.1099 Å, 90.00 90.00 90.00°
Sites, in units of the cell vectors:
Ba: 0.0000 0.0000 0.0000
Ba: 0.0000 0.5000 0.4898
Ba: 0.5000 0.0000 0.7208
Ba: 0.5000 0.5000 0.2180
Ag: 0.0000 0.5000 0.8030
Ge: 0.0000 0.0000 0.2924
Ge: 0.5000 0.0000 0.4209
Ge: 0.5000 0.5000 0.9195

# 3
Entry from Alexandria: a geometry-optimized BeSn2Os2 structure (PBE-GGA).

Crystal system: tetragonal
Uncorrected energy in eV/atom: -5.96
SG: I4/mmm

Cell: 8.3859 8.3859 8.3859 Å, 155.52 155.52 34.89°
Sites, in units of the cell vectors:
Be: 0.0000 0.0000 0.0000
Sn: 0.3952 0.3952 0.0000
Sn: 0.6048 0.6048 0.0000
Os: 0.2500 0.7500 0.5000
Os: 0.7500 0.2500 0.5000

# 4
Entry from Alexandria: a geometry-optimized NaNdZrTiO6 structure (PBE-GGA).

Crystal system: cubic
Formation energy without anion corrections in eV per formula unit: -29.20
SG: F-43m

Cell: 5.6840 5.6840 5.6840 Å, 60.00 60.00 60.00°
Sites, in units of the cell vectors:
Na: 0.0000 0.0000 0.0000
Nd: 0.5000 0.5000 0.5000
Zr: 0.2500 0.2500 0.2500
Ti: 0.7500 0.7500 0.7500
O: 0.5079 0.5079 0.9921
O: 0.5079 0.9921 0.5079
O: 0.5079 0.9921 0.9921
O: 0.9921 0.5079 0.5079
O: 0.9921 0.5079 0.9921
O: 0.9921 0.9921 0.5079